Entry from the Alexandria database: a relaxed Er2TlIr crystal (GGA-PBE). Values from VASP.

Quantum ESPRESSO input file:
```
&SYSTEM
  ibrav = 0, nat = 12, ntyp = 3
/
ATOMIC_SPECIES
Er 167.26 Er.upf
Tl 204.38 Tl.upf
Ir 192.22 Ir.upf
ATOMIC_POSITIONS angstrom
Er 0.0000 0.0000 3.2527
Er 0.0000 0.0000 25.1449
Er 0.0000 2.2761 15.6790
Er 0.0000 2.2761 22.1845
Er 1.9712 1.1381 6.2131
Er 1.9712 1.1381 12.7186
Tl 0.0000 0.0000 0.0000
Tl 0.0000 2.2761 18.9318
Tl 1.9712 1.1381 9.4659
Ir 0.0000 0.0000 14.1988
Ir 0.0000 2.2761 4.7329
Ir 1.9712 1.1381 23.6647
CELL_PARAMETERS angstrom
3.9423 0.0000 0.0000
-1.9712 3.4142 0.0000
0.0000 0.0000 28.3976
```

Output
VASP energy = -65.84 eV for the cell shown
ΔE_f = -38.5 kJ per mole of atoms
Mass density = 9.5 Mg/m³
Excess energy over the best structure of this formula in the dataset = 238 meV per atom



Entry from the Alexandria database: a relaxed Er6TlIr crystal (GGA-PBE). Values from VASP.

Quantum ESPRESSO input file:
```
&SYSTEM
  ibrav = 0, nat = 8, ntyp = 3
/
ATOMIC_SPECIES
Er 167.26 Er.upf
Tl 204.38 Tl.upf
Ir 192.22 Ir.upf
ATOMIC_POSITIONS angstrom
Er -0.8514 -0.0300 1.5915
Er -1.3092 3.7531 1.5878
Er -2.1692 1.7217 4.6407
Er 2.1985 2.2719 1.5886
Er 1.3386 0.2405 4.6416
Er 0.8808 4.0236 4.6378
Tl 3.4417 0.0000 0.0000
Ir 0.0147 1.9968 3.1147
CELL_PARAMETERS angstrom
6.8834 0.0000 0.0000
-3.4364 5.9825 0.0000
-3.4176 -1.9889 6.2293
```

Output
VASP energy = -39.70 eV for the cell shown
ΔE_f = -13.2 kJ per mole of atoms
Mass density = 9.1 Mg/m³



Entry from the Alexandria database: a relaxed Er5Tl2Ir crystal (GGA-PBE). Values from VASP.

Quantum ESPRESSO input file:
```
&SYSTEM
  ibrav = 0, nat = 16, ntyp = 3
/
ATOMIC_SPECIES
Er 167.26 Er.upf
Tl 204.38 Tl.upf
Ir 192.22 Ir.upf
ATOMIC_POSITIONS angstrom
Er 2.7109 6.9568 7.4641
Er 2.7109 6.9568 11.1111
Er 2.7109 3.4239 3.0959
Er 2.7109 3.3260 7.0981
Er 2.7109 3.3260 11.4771
Er 2.7109 -3.3260 0.9064
Er 2.7109 -3.3260 5.2854
Er 2.7109 -3.4239 9.2876
Er 2.7109 -6.9568 1.2724
Er 2.7109 -6.9568 4.9194
Tl 2.7109 6.3291 1.6236
Tl 2.7109 6.3291 4.5682
Tl 2.7109 -6.3291 7.8154
Tl 2.7109 -6.3291 10.7599
Ir 2.7109 5.0190 9.2876
Ir 2.7109 -5.0190 3.0959
CELL_PARAMETERS angstrom
2.7109 -8.2096 0.0000
2.7109 8.2096 0.0000
0.0000 0.0000 12.3835
```

Output
VASP energy = -74.47 eV for the cell shown
ΔE_f = -10.0 kJ per mole of atoms
Mass density = 8.7 Mg/m³
Excess energy over the best structure of this formula in the dataset = 374 meV per atom



Entry from the Alexandria database: a relaxed Er7TlIr2 crystal (GGA-PBE). Values from VASP.

Quantum ESPRESSO input file:
```
&SYSTEM
  ibrav = 0, nat = 10, ntyp = 3
/
ATOMIC_SPECIES
Er 167.26 Er.upf
Tl 204.38 Tl.upf
Ir 192.22 Ir.upf
ATOMIC_POSITIONS angstrom
Er 0.0000 0.0000 0.0000
Er 2.7486 1.7845 0.0000
Er 4.3897 3.9513 2.6225
Er 2.7486 -1.7845 0.0000
Er 6.0309 1.7845 0.0000
Er 4.3897 -3.9513 2.6225
Er 6.0309 -1.7845 0.0000
Tl 4.3897 0.0000 2.6225
Ir 4.3897 4.0479 0.0000
Ir 4.3897 -4.0479 0.0000
CELL_PARAMETERS angstrom
4.3897 -6.8197 0.0000
4.3897 6.8197 0.0000
0.0000 0.0000 5.2450
```

Output
VASP energy = -55.10 eV for the cell shown
ΔE_f = -29.6 kJ per mole of atoms
Mass density = 9.3 Mg/m³



Entry from the Alexandria database: a relaxed Er4Tl3Ir crystal (GGA-PBE). Values from VASP.

Quantum ESPRESSO input file:
```
&SYSTEM
  ibrav = 0, nat = 8, ntyp = 3
/
ATOMIC_SPECIES
Er 167.26 Er.upf
Tl 204.38 Tl.upf
Ir 192.22 Ir.upf
ATOMIC_POSITIONS angstrom
Er 0.0000 0.0000 1.5983
Er 0.0000 0.0000 5.8536
Er 0.0000 0.0000 10.0630
Er 0.0000 0.0000 14.3182
Tl 1.7705 1.7705 3.8010
Tl 1.7705 1.7705 7.9583
Tl 1.7705 1.7705 12.1155
Ir 1.7705 1.7705 0.0000
CELL_PARAMETERS angstrom
3.5410 0.0000 0.0000
0.0000 3.5410 0.0000
0.0000 0.0000 15.9165
```

Output
VASP energy = -38.04 eV for the cell shown
ΔE_f = -46.2 kJ per mole of atoms
Mass density = 12.3 Mg/m³



Entry from the Alexandria database: a relaxed Er4TlIr crystal (GGA-PBE). Values from VASP.

Quantum ESPRESSO input file:
```
&SYSTEM
  ibrav = 0, nat = 12, ntyp = 3
/
ATOMIC_SPECIES
Er 167.26 Er.upf
Tl 204.38 Tl.upf
Ir 192.22 Ir.upf
ATOMIC_POSITIONS angstrom
Er 0.9905 1.1056 1.1632
Er 0.9044 2.3807 4.5781
Er 2.3159 4.4676 0.8392
Er 2.2298 5.9915 4.2541
Er 5.0841 0.9812 2.5758
Er 4.9980 2.5052 5.9907
Er 6.4094 4.5920 2.2518
Er 6.3233 5.8671 5.6667
Tl 3.7430 0.0000 0.0000
Tl 3.6569 3.4864 3.4149
Ir -0.0861 0.0000 3.4149
Ir 0.0000 3.4864 0.0000
CELL_PARAMETERS angstrom
7.4860 0.0000 0.0000
0.0000 6.9727 0.0000
-0.1722 0.0000 6.8299
```

Output
VASP energy = -63.24 eV for the cell shown
ΔE_f = -34.4 kJ per mole of atoms
Mass density = 9.9 Mg/m³
Excess energy over the best structure of this formula in the dataset = 195 meV per atom



Entry from the Alexandria database: a relaxed ErTmTlIr crystal (GGA-PBE). Values from VASP.

Quantum ESPRESSO input file:
```
&SYSTEM
  ibrav = 0, nat = 4, ntyp = 4
/
ATOMIC_SPECIES
Er 167.26 Er.upf
Tm 168.93 Tm.upf
Tl 204.38 Tl.upf
Ir 192.22 Ir.upf
ATOMIC_POSITIONS angstrom
Er 0.0000 0.0000 0.0000
Tm 0.0000 0.0000 3.3998
Tl 1.6805 1.6805 5.8373
Ir 1.6805 1.6805 1.7129
CELL_PARAMETERS angstrom
3.3611 0.0000 0.0000
0.0000 3.3611 0.0000
0.0000 0.0000 8.2874
```

Output
VASP energy = -22.82 eV for the cell shown
ΔE_f = -61.8 kJ per mole of atoms
Mass density = 13.0 Mg/m³
Excess energy over the best structure of this formula in the dataset = 0 meV per atom



Entry from the Alexandria database: a relaxed ErTmTlIr crystal (GGA-PBE). Values from VASP.

Quantum ESPRESSO input file:
```
&SYSTEM
  ibrav = 0, nat = 16, ntyp = 4
/
ATOMIC_SPECIES
Er 167.26 Er.upf
Tm 168.93 Tm.upf
Tl 204.38 Tl.upf
Ir 192.22 Ir.upf
ATOMIC_POSITIONS angstrom
Er 0.0000 0.0000 0.0000
Er 0.0000 3.5652 3.5652
Er 3.5652 0.0000 3.5652
Er 3.5652 3.5652 0.0000
Tm 0.0000 0.0000 3.5652
Tm 0.0000 3.5652 0.0000
Tm 3.5652 0.0000 0.0000
Tm 3.5652 3.5652 3.5652
Tl 1.7826 1.7826 1.7826
Tl 1.7826 5.3479 5.3479
Tl 5.3479 1.7826 5.3479
Tl 5.3479 5.3479 1.7826
Ir 1.7826 1.7826 5.3479
Ir 1.7826 5.3479 1.7826
Ir 5.3479 1.7826 1.7826
Ir 5.3479 5.3479 5.3479
CELL_PARAMETERS angstrom
7.1305 0.0000 0.0000
0.0000 7.1305 0.0000
0.0000 0.0000 7.1305
```

Output
VASP energy = -89.33 eV for the cell shown
ΔE_f = -50.0 kJ per mole of atoms
Mass density = 13.4 Mg/m³
Excess energy over the best structure of this formula in the dataset = 123 meV per atom



ΔE_f of number 1 (Er2TlIr)? -38.5 kJ per mole of atoms